# Sm6DyYHo2

A relaxed structure of Sm6DyYHo2 (PBE-GGA, the Alexandria database).

Cell lengths 9.618, 8.896, 8.896 Å; angles 118.06, 93.81, 93.81 degrees
Atoms (fractional coordinates):
Sm1 0.880 0.290 0.505
Ho1 0.545 0.199 0.302
Sm2 0.554 0.758 0.121
Y1 0.750 0.025 0.975
Sm3 0.814 0.434 0.985
Dy1 0.250 0.410 0.590
Ho2 0.955 0.698 0.801
Dy2 0.750 0.590 0.410
Sm4 0.054 0.121 0.758
Sm5 0.380 0.505 0.290
Sm6 0.120 0.710 0.495
Sm7 0.186 0.566 0.015
Sm8 0.686 0.015 0.566
Sm9 0.946 0.879 0.242
Sm10 0.314 0.985 0.434
Ho3 0.455 0.801 0.698
Sm11 0.446 0.242 0.879
Sm12 0.620 0.495 0.710
Ho4 0.045 0.302 0.199
Y2 0.250 0.975 0.025

Output
The density of states at the Fermi level is 28.0 states/eV/cell. For the uncorrected energy, the calculation gives -4.737 eV per atom.